# 1
KBaNO2 after structural relaxation. Source: the Alexandria database, functional PBE.

The space group is P4/mmm (No. 123) and the conventional cell measures 4.757, 4.757 and 4.750 Å, with angles of 90.00, 90.00 and 90.00 degrees. The distinct sites, in fractional coordinates, are K at (0.000, 0.000, 0.000), Ba at (0.500, 0.500, 0.500), N at (0.000, 0.000, 0.500) and O at (0.000, 0.500, 0.000).

The energy relative to the elements, uncorrected is 0.15 eV/atom.

---

# 2
KBaPa4N8 after structural relaxation. Source: the Alexandria database, functional PBE.

The space group is R3m (No. 160, hexagonal axes) and the conventional cell measures 7.1688, 7.1688 and 17.5739 Å, with angles of 90.00, 90.00 and 120.00 degrees. The distinct sites, in fractional coordinates, are K at (0.0000, 0.0000, 0.0000), Ba at (0.0000, 0.0000, 0.3848), Pa at (0.0000, 0.0000, 0.6193), Pa at (0.1714, 0.3428, 0.8362), N at (0.0000, 0.0000, 0.2313), N at (0.0000, 0.0000, 0.7549), N at (0.0133, 0.5067, 0.2357) and N at (0.0490, 0.5245, 0.7791).

The energy relative to the elements, uncorrected is -1.14 eV/atom.

---

# 3
KBa2PbN after structural relaxation. Source: the Alexandria database, functional PBE.

The space group is P4/mmm (No. 123) and the conventional cell measures 5.678, 5.678 and 5.382 Å, with angles of 90.00, 90.00 and 90.00 degrees. The distinct sites, in fractional coordinates, are K at (0.000, 0.000, 0.000), Ba at (0.000, 0.500, 0.500), Pb at (0.500, 0.500, 0.000) and N at (0.500, 0.500, 0.500).

The energy relative to the elements, uncorrected is -0.01 eV/atom.

---

# 4
KBa2Re2N6 after structural relaxation. Source: the Alexandria database, functional PBE.

The space group is P-1 (No. 2) and the conventional cell measures 7.006, 7.022 and 7.655 Å, with angles of 99.35, 115.57 and 110.55 degrees. The distinct sites, in fractional coordinates, are K at (0.000, 0.000, 0.000), Ba at (0.403, 0.302, 0.704), Re at (0.064, 0.628, 0.691), N at (0.154, 0.899, 0.689), N at (0.208, 0.461, 0.309) and N at (0.295, 0.585, 0.879).

The energy relative to the elements, uncorrected is -0.25 eV/atom.

---

# 5
KBa2ReN4 after structural relaxation. Source: the Alexandria database, functional PBE.

The space group is Pmn2_1 (No. 31) and the conventional cell measures 8.508, 6.350 and 6.142 Å, with angles of 90.00, 90.00 and 90.00 degrees. The distinct sites, in fractional coordinates, are K at (0.000, 0.196, 0.000), Ba at (0.243, 0.711, 0.006), Re at (0.000, 0.724, 0.482), N at (0.000, 0.524, 0.265), N at (0.000, 0.575, 0.743) and N at (0.180, 0.878, 0.448).

The energy relative to the elements, uncorrected is -0.66 eV/atom.

---

# 6
K2BaRe2N6 after structural relaxation. Source: the Alexandria database, functional PBE.

The space group is C2/m (No. 12) and the conventional cell measures 11.454, 6.676 and 7.810 Å, with angles of 90.00, 124.40 and 90.00 degrees. The distinct sites, in fractional coordinates, are K at (0.205, 0.000, 0.172), Ba at (0.000, 0.000, 0.500), Re at (0.025, 0.500, 0.193), N at (0.059, 0.278, 0.801) and N at (0.213, 0.500, 0.386).

The energy relative to the elements, uncorrected is -0.07 eV/atom.

---

# 7
K2BaRhN after structural relaxation. Source: the Alexandria database, functional PBE.

The space group is P4/mmm (No. 123) and the conventional cell measures 7.659, 7.659 and 5.179 Å, with angles of 90.00, 90.00 and 90.00 degrees. The distinct sites, in fractional coordinates, are K at (0.000, 0.500, 0.000), Ba at (0.000, 0.000, 0.000), Rh at (0.000, 0.000, 0.500) and N at (0.500, 0.500, 0.500).

The energy relative to the elements, uncorrected is 1.46 eV/atom.

---

# 8
KBaS2N after structural relaxation. Source: the Alexandria database, functional PBE.

The space group is P4/mmm (No. 123) and the conventional cell measures 5.996, 5.996 and 5.388 Å, with angles of 90.00, 90.00 and 90.00 degrees. The distinct sites, in fractional coordinates, are K at (0.000, 0.000, 0.000), Ba at (0.500, 0.500, 0.500), S at (0.000, 0.500, 0.500) and N at (0.500, 0.500, 0.000).

The energy above the lowest structure with this stoichiometry is 0 kJ/mol of formula units. The energy relative to the elements, uncorrected is 0.22 eV/atom.

---

In the order shown, the computed uncorrected energy values come out to -4.105, -8.826, -3.406, -7.499, -6.997, -7.248, -2.499, -3.703 eV/atom.